(1)
LiCuTe2MoSe: optimized geometry, PBE.

a = 7.2092 Å, b = 7.2092 Å, c = 9.9360 Å
α = 90.00°, β = 90.00°, γ = 150.67°
Last column: nearest neighbours and their distance in Å.
Fractional coordinates of all 12 atoms:
Cu  0.4708  0.5292  0.2500  2 Se 2.40, 2 Te 2.57
Cu  0.5292  0.4708  0.7500  2 Se 2.40, 2 Te 2.57
Li  0.7384  0.2616  0.2500  2 Se 2.84, 4 Te 3.13
Li  0.2616  0.7384  0.7500  2 Se 2.84, 4 Te 3.13
Mo  0.0000  0.0000  0.0000  2 Se 2.74, 4 Te 2.79
Mo  0.0000  0.0000  0.5000  2 Se 2.74, 4 Te 2.79
Se  0.0821  0.9179  0.2500  2 Cu 2.40
Se  0.9179  0.0821  0.7500  2 Cu 2.40
Te  0.3531  0.6469  0.0514  1 Cu 2.57, 2 Mo 2.79
Te  0.3531  0.6469  0.4486  1 Cu 2.57, 2 Mo 2.79
Te  0.6469  0.3531  0.5514  1 Cu 2.57, 2 Mo 2.79
Te  0.6469  0.3531  0.9486  1 Cu 2.57, 2 Mo 2.79

## Properties
The total DFT energy (no corrections) is -55.34 eV for the cell shown.

(2)
LiCuSnMo: optimized geometry, PBE.

a = 4.4828 Å, b = 4.4828 Å, c = 4.4828 Å
α = 60.00°, β = 60.00°, γ = 60.00°
Last column: nearest neighbours and their distance in Å.
Fractional coordinates of all 4 atoms:
Cu  0.7500  0.7500  0.7500  4 Li 2.75, 4 Sn 2.75
Li  0.5000  0.5000  0.5000  4 Mo 2.75, 4 Cu 2.75
Mo  0.2500  0.2500  0.2500  4 Li 2.75, 4 Sn 2.75
Sn  0.0000  0.0000  0.0000  4 Mo 2.75, 4 Cu 2.75

## Properties
The energy above the most stable polymorph in this dataset comes out at 0.000 eV/atom.

(3)
LiCuSnMo: optimized geometry, PBE.

a = 4.4271 Å, b = 4.4271 Å, c = 4.4271 Å
α = 60.00°, β = 60.00°, γ = 60.00°
Last column: nearest neighbours and their distance in Å.
Fractional coordinates of all 4 atoms:
Cu  0.7500  0.7500  0.7500  4 Mo 2.71, 4 Sn 2.71
Li  0.2500  0.2500  0.2500  4 Mo 2.71, 4 Sn 2.71
Mo  0.5000  0.5000  0.5000  4 Cu 2.71, 4 Li 2.71
Sn  0.0000  0.0000  0.0000  4 Cu 2.71, 4 Li 2.71

## Properties
The energy above the most stable polymorph in this dataset comes out at 0.011 eV/atom.